Record 1
6
Lattice="6.821 -1.507 0.000 6.821 1.507 0.000 -0.456 0.000 4.889" Properties=species:S:1:pos:R:3 comment="ZnAsIr, relaxed, DFT PBE-GGA" final_energy_ev_per_atom=-5.090 spacegroup="C2/m, No. 12" formation_enthalpy_0k_mev_per_atom=-162 e_above_lowest_polymorph_ev_per_atom=0.029 volume_a3_per_atom=16.750 pbc="T T T"
Zn 0.000 0.000 0.000
Zn 6.593 0.000 2.445
As 2.683 0.000 1.190
As 10.503 0.000 3.699
Ir 1.687 0.000 3.582
Ir 11.498 0.000 1.307

---

Record 2
6
Lattice="0.000 3.683 3.683 3.683 0.000 3.683 3.683 3.683 0.000" Properties=species:S:1:pos:R:3 comment="ZnAsIr4, relaxed, DFT PBE-GGA" final_energy_ev_per_atom=-6.423 spacegroup="F-43m, No. 216" formation_enthalpy_0k_mev_per_atom=472 volume_a3_per_atom=16.659 pbc="T T T"
Zn 0.000 0.000 0.000
As 1.842 1.842 1.842
Ir 4.605 2.762 2.762
Ir 2.762 4.605 2.762
Ir 2.762 2.762 4.605
Ir 4.605 4.605 4.605

---

Record 3
4
Lattice="1.442 -2.487 0.000 1.442 2.487 0.000 0.000 0.000 9.864" Properties=species:S:1:pos:R:3 comment="ZnAs2Ir, relaxed, DFT PBE-GGA" final_energy_ev_per_atom=-4.695 spacegroup="Cmm2, No. 35" formation_enthalpy_0k_mev_per_atom=163 volume_a3_per_atom=17.696 pbc="T T T"
Zn 0.000 0.000 0.000
As 0.000 0.000 4.268
As 1.442 0.000 7.582
Ir 1.442 0.000 2.188

---

Record 4
4
Lattice="1.396 -2.458 0.000 1.396 2.458 0.000 0.000 0.000 9.663" Properties=species:S:1:pos:R:3 comment="Zn2AsIr, relaxed, DFT PBE-GGA" final_energy_ev_per_atom=-3.887 spacegroup="Cmm2, No. 35" formation_enthalpy_0k_mev_per_atom=128 volume_a3_per_atom=16.583 pbc="T T T"
Zn 0.000 0.000 0.000
Zn 1.396 0.000 2.350
As 0.000 0.000 5.299
Ir 1.396 0.000 7.453

---

Record 5
4
Lattice="0.000 3.194 3.194 3.194 0.000 3.194 3.194 3.194 0.000" Properties=species:S:1:pos:R:3 comment="ZnAs2Ir, relaxed, DFT PBE-GGA" final_energy_ev_per_atom=-4.503 spacegroup="F-43m, No. 216" formation_enthalpy_0k_mev_per_atom=355 volume_a3_per_atom=16.293 pbc="T T T"
Zn 0.000 0.000 0.000
As 3.194 3.194 3.194
As 4.791 4.791 4.791
Ir 1.597 1.597 1.597

---

Record 6
4
Lattice="-1.980 1.980 3.873 1.980 -1.980 3.873 1.980 1.980 -3.873" Properties=species:S:1:pos:R:3 comment="Zn2AsIr, relaxed, DFT PBE-GGA" final_energy_ev_per_atom=-3.992 spacegroup="I-4m2, No. 119" formation_enthalpy_0k_mev_per_atom=23 volume_a3_per_atom=15.181 pbc="T T T"
Zn 0.000 0.000 0.000
Zn 0.000 1.980 1.936
As 1.980 0.000 1.936
Ir 0.000 0.000 3.873

---

N(E_F) (states/eV/atom)
0.1994 0.8868 0.5982 0.3535 0.6475 0.2284